Run P
Computed, not measured: a relaxed Pm7Pr5 crystal at the PBE-GGA level of DFT.

abc: 19.198 3.694 13.517
angles: 90.00 118.27 90.00
Space group C2/m (No. 12)
Asymmetric unit:
1 Pm 0.000 0.000 0.000 x2
2 Pm 0.027 0.500 0.250 x4
3 Pm 0.139 0.000 0.749 x4
4 Pm 0.166 0.000 0.499 x4
5 Pr 0.000 0.500 0.500 x2
6 Pr 0.166 0.500 0.998 x4
7 Pr 0.194 0.000 0.251 x4

## Properties
D(E_F) ... 16.22 states/eV/f.u.

***

Run Q
Computed, not measured: a relaxed Pm7Pr5 crystal at the PBE-GGA level of DFT.

abc: 9.769 5.993 15.029
angles: 90.00 104.76 90.00
Space group C2/m (No. 12)
Asymmetric unit:
1 Pm 0.000 0.000 0.000 x2
2 Pm 0.035 0.500 0.714 x4
3 Pm 0.178 0.000 0.584 x4
4 Pm 0.248 0.500 0.172 x4
5 Pr 0.000 0.500 0.500 x2
6 Pr 0.127 0.000 0.299 x4
7 Pr 0.131 0.500 0.937 x4

## Properties
D(E_F) ... 19.01 states/eV/f.u.

***

Stability, highest: run P

***

Run P
Computed, not measured: a relaxed Pm3Pr8 crystal at the PBE-GGA level of DFT.

abc: 11.749 5.214 13.338
angles: 90.00 105.12 90.00
Space group C2/m (No. 12)
Asymmetric unit:
1 Pm 0.000 0.000 0.000 x2
2 Pm 0.091 0.000 0.636 x4
3 Pr 0.045 0.500 0.818 x4
4 Pr 0.136 0.500 0.455 x4
5 Pr 0.182 0.000 0.273 x4
6 Pr 0.228 0.500 0.091 x4

## Properties
D(E_F) ... 18.34 states/eV/f.u.

***

Run Q
Computed, not measured: a relaxed Pm3Pr8 crystal at the PBE-GGA level of DFT.

abc: 9.9989 9.9989 13.8046
angles: 90.00 90.00 120.00
Space group R-3 (No. 148, hexagonal axes)
Asymmetric unit:
1 Pm 0.0000 0.5000 0.0000 x9
2 Pr 0.0000 0.0000 0.3802 x6
3 Pr 0.0332 0.2260 0.1142 x18

## Properties
D(E_F) ... 13.56 states/eV/f.u.

***

Stability, highest: run P